Here is a relaxed structure of TbNd2In from Alexandria. Energies are from PBE-GGA.

Properties
SG: No. 123
Raw total energy in eV/atom: -4.496
ΔH_f (0 K) in eV per atom: -0.2701
Spin magnetization in μB/atom: 0.0061

Unit cell a=4.997 b=4.926 c=4.926 alpha=90.00 beta=90.00 gamma=90.00
Element x y z (fractional)
Nd (0.000, 0.000, 0.500)
Nd (0.000, 0.500, 0.000)
Tb (0.500, 0.000, 0.000)
In (0.500, 0.500, 0.500)